Entry 1:
# NdZrGa

A relaxed structure of NdZrGa (PBE, Alexandria via LeMat-Bulk).

**Energy of formation**: -0.224 eV per atom
**Energy above the lowest structure with this stoichiometry**: 173 meV per atom

The structure in CIF format:
```
data_NdZrGa
_chemical_formula_sum 'Nd2 Zr2 Ga2'
_cell_length_a 3.2400
_cell_length_b 3.2400
_cell_length_c 13.7645
_cell_angle_alpha 90.00
_cell_angle_beta 90.00
_cell_angle_gamma 90.00
_symmetry_space_group_name_H-M 'I 4 m m'
_symmetry_Int_Tables_number 107
_symmetry_space_group_name_Hall 'I 4 -2'
loop_
_atom_site_label
_atom_site_type_symbol
_atom_site_fract_x
_atom_site_fract_y
_atom_site_fract_z
Nd1 Nd 0.0000 0.0000 0.0000
Zr1 Zr 0.0000 0.0000 0.2957
Ga1 Ga 0.0000 0.0000 0.6621
```



Entry 2:
# ReHg2Mo

A relaxed structure of ReHg2Mo (PBE, Alexandria via LeMat-Bulk).

**Energy of formation**: 0.903 eV per atom
**Energy above the lowest structure with this stoichiometry**: 489 meV per atom

The structure in CIF format:
```
data_ReHg2Mo
_chemical_formula_sum 'Re2 Hg4 Mo2'
_cell_length_a 3.9642
_cell_length_b 3.9642
_cell_length_c 9.1037
_cell_angle_alpha 90.00
_cell_angle_beta 90.00
_cell_angle_gamma 90.00
_symmetry_space_group_name_H-M 'I 4/m m m'
_symmetry_Int_Tables_number 139
_symmetry_space_group_name_Hall '-I 4 2'
loop_
_atom_site_label
_atom_site_type_symbol
_atom_site_fract_x
_atom_site_fract_y
_atom_site_fract_z
Re1 Re 0.0000 0.0000 0.0000
Hg1 Hg 0.0000 0.5000 0.2500
Mo1 Mo 0.0000 0.0000 0.5000
```



Entry 3:
# Be2Cr2Pb

A relaxed structure of Be2Cr2Pb (PBE, Alexandria via LeMat-Bulk).

**Energy of formation**: 0.446 eV per atom

The structure in CIF format:
```
data_Be2Cr2Pb
_chemical_formula_sum 'Be4 Cr4 Pb2'
_cell_length_a 6.5008
_cell_length_b 6.5008
_cell_length_c 3.1141
_cell_angle_alpha 90.00
_cell_angle_beta 90.00
_cell_angle_gamma 90.00
_symmetry_space_group_name_H-M 'P 4/m b m'
_symmetry_Int_Tables_number 127
_symmetry_space_group_name_Hall '-P 4 2ab'
loop_
_atom_site_label
_atom_site_type_symbol
_atom_site_fract_x
_atom_site_fract_y
_atom_site_fract_z
Be1 Be 0.1127 0.3873 0.0000
Cr1 Cr 0.1672 0.6672 0.5000
Pb1 Pb 0.0000 0.0000 0.0000
```



Entry 4:
# YGaIr

A relaxed structure of YGaIr (PBE, Alexandria via LeMat-Bulk).

**Energy of formation**: -0.644 eV per atom

The structure in CIF format:
```
data_YGaIr
_chemical_formula_sum 'Y12 Ga12 Ir12'
_cell_length_a 18.5502
_cell_length_b 5.8735
_cell_length_c 7.0761
_cell_angle_alpha 90.00
_cell_angle_beta 91.20
_cell_angle_gamma 90.00
_symmetry_space_group_name_H-M 'C 1 2/c 1'
_symmetry_Int_Tables_number 15
loop_
_symmetry_equiv_pos_as_xyz
'x,y,z'
'-x,-y,-z'
'-x,y,-z+1/2'
'x,-y,z+1/2'
'x+1/2,y+1/2,z'
'-x+1/2,-y+1/2,-z'
'-x+1/2,y+1/2,-z+1/2'
'x+1/2,-y+1/2,z+1/2'
loop_
_atom_site_label
_atom_site_type_symbol
_atom_site_fract_x
_atom_site_fract_y
_atom_site_fract_z
Y1 Y 0.0000 0.0116 0.2500
Y2 Y 0.1630 0.4053 0.8367
Ga1 Ga 0.0000 0.5000 0.0000
Ga2 Ga 0.1718 0.0857 0.2064
Ir1 Ir 0.0973 0.2151 0.5085
Ir2 Ir 0.2500 0.2500 0.5000
```



Entry 5:
# Ta2VFe

A relaxed structure of Ta2VFe (PBE, Alexandria via LeMat-Bulk).

**Energy of formation**: 0.722 eV per atom

The structure in CIF format:
```
data_Ta2VFe
_chemical_formula_sum 'Ta4 V2 Fe2'
_cell_length_a 2.7818
_cell_length_b 4.6894
_cell_length_c 10.1030
_cell_angle_alpha 90.00
_cell_angle_beta 90.00
_cell_angle_gamma 90.00
_symmetry_space_group_name_H-M 'I m m m'
_symmetry_Int_Tables_number 71
_symmetry_space_group_name_Hall '-I 2 2'
loop_
_atom_site_label
_atom_site_type_symbol
_atom_site_fract_x
_atom_site_fract_y
_atom_site_fract_z
Ta1 Ta 0.0000 0.0000 0.2279
V1 V 0.0000 0.0000 0.5000
Fe1 Fe 0.0000 0.0000 0.0000
```



Entry 6:
# NbReF2

A relaxed structure of NbReF2 (PBE, Alexandria via LeMat-Bulk).

**Formation energy (no corrections)**: 0.296 eV/atom
**Energy above the lowest structure with this stoichiometry**: 1034 meV per atom

The structure in CIF format:
```
data_NbReF2
_chemical_formula_sum 'Nb4 Re4 F8'
_cell_length_a 6.0240
_cell_length_b 6.0240
_cell_length_c 6.0240
_cell_angle_alpha 90.00
_cell_angle_beta 90.00
_cell_angle_gamma 90.00
_symmetry_space_group_name_H-M 'F m -3 m'
_symmetry_Int_Tables_number 225
_symmetry_space_group_name_Hall '-F 4 2 3'
loop_
_atom_site_label
_atom_site_type_symbol
_atom_site_fract_x
_atom_site_fract_y
_atom_site_fract_z
Nb1 Nb 0.0000 0.0000 0.0000
Re1 Re 0.0000 0.0000 0.5000
F1 F 0.2500 0.2500 0.2500
```



Entry 7:
# BaAgTe2

A relaxed structure of BaAgTe2 (PBE, Alexandria via LeMat-Bulk).

**Formation energy (no corrections)**: -0.914 eV/atom

The structure in CIF format:
```
data_BaAgTe2
_chemical_formula_sum 'Ba2 Ag2 Te4'
_cell_length_a 4.7488
_cell_length_b 4.7488
_cell_length_c 11.4882
_cell_angle_alpha 90.00
_cell_angle_beta 90.00
_cell_angle_gamma 90.00
_symmetry_space_group_name_H-M 'P 4/n m m'
_symmetry_Int_Tables_number 129
loop_
_symmetry_equiv_pos_as_xyz
'x,y,z'
'-x,-y,-z'
'-y+1/2,x,z'
'y+1/2,-x,-z'
'-x+1/2,-y+1/2,z'
'x+1/2,y+1/2,-z'
'y,-x+1/2,z'
'-y,x+1/2,-z'
'x+1/2,-y,-z'
'-x+1/2,y,z'
'-y,-x,-z'
'y,x,z'
'-x,y+1/2,-z'
'x,-y+1/2,z'
'y+1/2,x+1/2,-z'
'-y+1/2,-x+1/2,z'
loop_
_atom_site_label
_atom_site_type_symbol
_atom_site_fract_x
_atom_site_fract_y
_atom_site_fract_z
Ba1 Ba 0.2500 0.2500 0.2263
Ag1 Ag 0.2500 0.7500 0.5000
Te1 Te 0.2500 0.2500 0.6512
Te2 Te 0.2500 0.7500 0.0000
```



Entry 8:
# Cs2NpHgSe4

A relaxed structure of Cs2NpHgSe4 (PBE, Alexandria via LeMat-Bulk).

**Formation energy (no corrections)**: -0.857 eV/atom

The structure in CIF format:
```
data_Cs2NpHgSe4
_chemical_formula_sum 'Cs16 Np8 Hg8 Se32'
_cell_length_a 6.6367
_cell_length_b 15.3680
_cell_length_c 26.3102
_cell_angle_alpha 90.00
_cell_angle_beta 90.00
_cell_angle_gamma 90.00
_symmetry_space_group_name_H-M 'F d d d'
_symmetry_Int_Tables_number 70
loop_
_symmetry_equiv_pos_as_xyz
'x,y,z'
'-x,-y,-z'
'-x+1/4,-y+1/4,z'
'x+1/4,y+1/4,-z'
'x,-y+1/4,-z+1/4'
'-x,y+1/4,z+1/4'
'-x+1/4,y,-z+1/4'
'x+1/4,-y,z+1/4'
'x,y+1/2,z+1/2'
'-x,-y+1/2,-z+1/2'
'-x+1/4,-y+3/4,z+1/2'
'x+1/4,y+3/4,-z+1/2'
'x,-y+3/4,-z+3/4'
'-x,y+3/4,z+3/4'
'-x+1/4,y+1/2,-z+3/4'
'x+1/4,-y+1/2,z+3/4'
'x+1/2,y,z+1/2'
'-x+1/2,-y,-z+1/2'
'-x+3/4,-y+1/4,z+1/2'
'x+3/4,y+1/4,-z+1/2'
'x+1/2,-y+1/4,-z+3/4'
'-x+1/2,y+1/4,z+3/4'
'-x+3/4,y,-z+3/4'
'x+3/4,-y,z+3/4'
'x+1/2,y+1/2,z'
'-x+1/2,-y+1/2,-z'
'-x+3/4,-y+3/4,z'
'x+3/4,y+3/4,-z'
'x+1/2,-y+3/4,-z+1/4'
'-x+1/2,y+3/4,z+1/4'
'-x+3/4,y+1/2,-z+1/4'
'x+3/4,-y+1/2,z+1/4'
loop_
_atom_site_label
_atom_site_type_symbol
_atom_site_fract_x
_atom_site_fract_y
_atom_site_fract_z
Cs1 Cs 0.1250 0.1250 0.3050
Np1 Np 0.1250 0.1250 0.1250
Hg1 Hg 0.1250 0.1250 0.6250
Se1 Se 0.1190 0.2696 0.4284
```